Crystalline Li2TlAu at its relaxed geometry, computed with PBE.

```
Li2TlAu
1.0
0.000 3.305 3.305
3.305 0.000 3.305
3.305 3.305 0.000
Au Li Tl
1 2 1
direct
0.250 0.250 0.250
0.000 0.000 0.000
0.750 0.750 0.750
0.500 0.500 0.500
```

## Properties
* space-group type: F-43m, No. 216
* total DFT energy (no corrections): -10.9 eV for the cell shown

---

Crystalline Li2TlAu at its relaxed geometry, computed with PBE.

```
Li2TlAu
1.0
3.066 0.417 3.722
-4.561 -1.425 0.769
2.173 -7.470 -0.953
Au Tl Li
2 2 4
direct
0.833 0.167 0.750
0.167 0.833 0.250
0.500 0.500 0.750
0.500 0.500 0.250
0.833 0.167 0.083
0.167 0.833 0.917
0.167 0.833 0.583
0.833 0.167 0.417
```

## Properties
* space-group type: P6_3/mmc, No. 194
* total DFT energy (no corrections): -21.4 eV for the cell shown

---

Crystalline Li2TlAu at its relaxed geometry, computed with PBE.

```
Li2TlAu
1.0
4.607 0.000 0.000
0.000 6.525 0.000
0.000 0.000 13.801
Au Li Tl
6 12 6
direct
0.500 0.500 0.500
0.000 0.000 0.333
0.000 0.000 0.667
0.000 0.000 0.000
0.500 0.500 0.833
0.500 0.500 0.167
0.499 0.750 0.667
0.500 0.250 0.000
0.000 0.750 0.500
0.501 0.250 0.333
0.499 0.250 0.667
0.001 0.750 0.167
0.000 0.250 0.500
0.999 0.250 0.833
0.501 0.750 0.333
0.001 0.250 0.167
0.999 0.750 0.833
0.500 0.750 0.000
0.499 0.000 0.833
0.500 0.000 0.500
0.501 0.000 0.167
0.001 0.500 0.333
0.999 0.500 0.667
0.000 0.500 0.000
```

## Properties
* space-group type: I4/mmm, No. 139
* total DFT energy (no corrections): -66.0 eV for the cell shown

---

Crystalline Li6TlAu at its relaxed geometry, computed with PBE.

```
Li6TlAu
1.0
-1.036 3.771 -2.219
0.782 -2.084 -3.907
-6.030 -1.801 -0.246
Li Tl Au
6 1 1
direct
0.500 0.000 0.736
0.000 0.500 0.264
0.500 0.500 0.500
0.000 0.000 0.000
0.000 0.500 0.736
0.500 0.000 0.264
0.500 0.500 0.000
0.000 0.000 0.500
```

## Properties
* space-group type: P4/mmm, No. 123
* total DFT energy (no corrections): -19.5 eV for the cell shown

---

Crystalline Li8TlAu2 at its relaxed geometry, computed with PBE.

```
Li8TlAu2
1.0
3.847 -2.216 0.000
3.847 2.216 0.000
-2.581 0.000 10.215
Tl Li Au
1 8 2
direct
0.000 0.000 0.000
0.819 0.819 0.457
0.181 0.181 0.543
0.093 0.093 0.278
0.271 0.271 0.812
0.907 0.907 0.722
0.367 0.367 0.101
0.633 0.633 0.899
0.729 0.729 0.188
0.546 0.546 0.639
0.454 0.454 0.361
```

## Properties
* space-group type: C2/m, No. 12
* total DFT energy (no corrections): -27.9 eV for the cell shown

---

Crystalline LiTl2Au at its relaxed geometry, computed with PBE.

```
LiTl2Au
1.0
0.000 3.594 3.594
3.594 0.000 3.594
3.594 3.594 0.000
Au Li Tl
1 1 2
direct
0.500 0.500 0.500
0.750 0.750 0.750
0.000 0.000 0.000
0.250 0.250 0.250
```

## Properties
* space-group type: F-43m, No. 216
* total DFT energy (no corrections): -10.4 eV for the cell shown